# 1
## Pm7Y3Tl2 (GGA-PBE)

Data for a geometry-optimized Pm7Y3Tl2 structure.

a b c (Å): 3.6707 5.6917 19.2257
angles (deg): 103.10 90.00 90.00
Closest atoms and distances in Å follow each position.
Fractional coordinates of all 12 atoms:
Pm (0.5000, 0.9919, 0.8272)  8 Pm 3.39-3.79, 2 Tl 3.64-3.68
Pm (0.5000, 0.2788, 0.5373)  1 Tl 3.13, 2 Pm 3.17
Pm (0.0000, 0.0000, 0.0000)  4 Y 3.39, 8 Pm 3.52-3.79
Pm (0.0000, 0.4872, 0.1504)  2 Tl 3.28, 7 Pm 3.39-3.67, 2 Y 3.44
Pm (0.5000, 0.0081, 0.1728)  8 Pm 3.39-3.79, 2 Tl 3.64-3.68
Pm (0.0000, 0.5128, 0.8496)  2 Tl 3.28, 7 Pm 3.39-3.67, 2 Y 3.44
Pm (0.5000, 0.7212, 0.4627)  1 Tl 3.13, 2 Pm 3.17
Tl (0.5000, 0.4027, 0.7043)  3 Pm 3.13-3.28
Tl (0.5000, 0.5973, 0.2957)  3 Pm 3.13-3.28
Y (0.0000, 0.8557, 0.6382)  4 Tl 3.59-3.62, 2 Y 3.67, 8 Pm 3.76-3.99
Y (0.0000, 0.1443, 0.3618)  4 Tl 3.59-3.62, 2 Y 3.67, 8 Pm 3.76-3.99
Y (0.5000, 0.5000, 0.0000)  8 Pm 3.39-3.44, 2 Y 3.67

Output
Symmetry = No. 10
Total magnetic moment = 0.00 μB per formula unit
E_form = -0.020 eV/atom


# 2
## Pm2Y8Tl (GGA-PBE)

Data for a geometry-optimized Pm2Y8Tl structure.

a b c (Å): 4.9897 7.9456 9.4341
angles (deg): 104.79 105.33 90.00
Closest atoms and distances in Å follow each position.
Fractional coordinates of all 11 atoms:
Tl (0.5000, 0.0000, 0.0000)  12 Y 3.46-3.56
Y (0.6810, 0.9096, 0.3621)  8 Y 3.52-3.64, 3 Pm 3.53-3.59, 1 Tl 3.55
Y (0.0449, 0.7233, 0.0897)  1 Pm 3.48, 9 Y 3.49-3.58, 2 Tl 3.56
Y (0.4104, 0.5573, 0.8208)  1 Tl 3.46, 8 Y 3.50-3.64, 3 Pm 3.52-3.63
Y (0.5896, 0.4427, 0.1792)  1 Tl 3.46, 8 Y 3.50-3.64, 3 Pm 3.52-3.63
Y (0.9551, 0.2767, 0.9103)  1 Pm 3.48, 9 Y 3.49-3.58, 2 Tl 3.56
Y (0.3190, 0.0904, 0.6379)  8 Y 3.52-3.64, 3 Pm 3.53-3.59, 1 Tl 3.55
Y (0.1338, 0.1751, 0.2676)  2 Tl 3.51, 7 Y 3.51-3.61, 3 Pm 3.57-3.65
Y (0.8662, 0.8249, 0.7324)  2 Tl 3.51, 7 Y 3.51-3.61, 3 Pm 3.57-3.65
Pm (0.2221, 0.6332, 0.4441)  10 Y 3.48-3.65, 2 Pm 3.59
Pm (0.7779, 0.3668, 0.5559)  10 Y 3.48-3.65, 2 Pm 3.59

Output
Symmetry = No. 12
Excess energy over the best structure of this formula in the dataset = 0.04 eV/f.u.
Total magnetic moment = 0.00 μB per formula unit
E_form = -0.035 eV/atom


# 3
## Pm7Y12Tl (GGA-PBE)

Data for a geometry-optimized Pm7Y12Tl structure.

a b c (Å): 8.7583 8.7583 8.7583
angles (deg): 86.77 86.77 86.77
Closest atoms and distances in Å follow each position.
Fractional coordinates of all 20 atoms:
Y (0.1363, 0.7550, 0.2556)  1 Tl 3.24, 5 Y 3.35-3.53, 1 Pm 3.58
Y (0.4962, 0.3916, 0.8583)  4 Y 3.21-3.53, 2 Pm 3.23-3.56
Y (0.7444, 0.8637, 0.2450)  1 Tl 3.24, 5 Y 3.35-3.53, 1 Pm 3.58
Y (0.8637, 0.2450, 0.7444)  1 Tl 3.24, 5 Y 3.35-3.53, 1 Pm 3.58
Y (0.1417, 0.5038, 0.6084)  4 Y 3.21-3.53, 2 Pm 3.23-3.56
Y (0.2556, 0.1363, 0.7550)  1 Tl 3.24, 5 Y 3.35-3.53, 1 Pm 3.58
Y (0.5038, 0.6084, 0.1417)  4 Y 3.21-3.53, 2 Pm 3.23-3.56
Y (0.8583, 0.4962, 0.3916)  4 Y 3.21-3.53, 2 Pm 3.23-3.56
Y (0.3916, 0.8583, 0.4962)  4 Y 3.21-3.53, 2 Pm 3.23-3.56
Y (0.7550, 0.2556, 0.1363)  1 Tl 3.24, 5 Y 3.35-3.53, 1 Pm 3.58
Y (0.2450, 0.7444, 0.8637)  1 Tl 3.24, 5 Y 3.35-3.53, 1 Pm 3.58
Y (0.6084, 0.1417, 0.5038)  4 Y 3.21-3.53, 2 Pm 3.23-3.56
Pm (0.9166, 0.8545, 0.6072)  3 Pm 3.41-3.42, 6 Y 3.56-3.80
Pm (0.0834, 0.1455, 0.3928)  3 Pm 3.41-3.42, 6 Y 3.56-3.80
Pm (0.5000, 0.5000, 0.5000)  6 Y 3.23
Pm (0.3928, 0.0834, 0.1455)  3 Pm 3.41-3.42, 6 Y 3.56-3.80
Pm (0.1455, 0.3928, 0.0834)  3 Pm 3.41-3.42, 6 Y 3.56-3.80
Pm (0.8545, 0.6072, 0.9166)  3 Pm 3.41-3.42, 6 Y 3.56-3.80
Pm (0.6072, 0.9166, 0.8545)  3 Pm 3.41-3.42, 6 Y 3.56-3.80
Tl (0.0000, 0.0000, 0.0000)  6 Y 3.24

Output
Symmetry = No. 148
Total magnetic moment = 0.00 μB per formula unit
E_form = 0.160 eV/atom


# 4
## PmY3Tl (GGA-PBE)

Data for a geometry-optimized PmY3Tl structure.

a b c (Å): 7.8725 7.8725 14.2368
angles (deg): 97.57 97.57 50.45
Closest atoms and distances in Å follow each position.
Fractional coordinates of all 20 atoms:
Y (0.2875, 0.7874, 0.9626)  2 Tl 3.00, 1 Pm 3.27
Y (0.1570, 0.1568, 0.6568)  2 Tl 3.23, 5 Y 3.35-3.47
Y (0.2126, 0.7125, 0.5374)  2 Tl 3.00, 1 Pm 3.27
Y (0.3431, 0.3428, 0.3432)  2 Tl 3.23, 5 Y 3.35-3.47
Y (0.7125, 0.2126, 0.0374)  2 Tl 3.00, 1 Pm 3.27
Y (0.8430, 0.8432, 0.3432)  2 Tl 3.23, 5 Y 3.35-3.47
Y (0.1568, 0.1570, 0.1569)  2 Tl 3.23, 5 Y 3.35-3.47
Y (0.7874, 0.2875, 0.4626)  2 Tl 3.00, 1 Pm 3.27
Y (0.3428, 0.3431, 0.8431)  2 Tl 3.23, 5 Y 3.35-3.47
Y (0.6569, 0.6572, 0.6568)  2 Tl 3.23, 5 Y 3.35-3.47
Y (0.8432, 0.8430, 0.8431)  2 Tl 3.23, 5 Y 3.35-3.47
Y (0.6572, 0.6569, 0.1569)  2 Tl 3.23, 5 Y 3.35-3.47
Pm (0.3645, 0.8644, 0.3863)  1 Y 3.27
Pm (0.8644, 0.3645, 0.8862)  1 Y 3.27
Pm (0.6355, 0.1356, 0.6137)  1 Y 3.27
Pm (0.1356, 0.6355, 0.1138)  1 Y 3.27
Tl (0.7497, 0.2502, 0.2500)  6 Y 3.00-3.23
Tl (0.2503, 0.7498, 0.7500)  6 Y 3.00-3.23
Tl (0.5000, 0.0000, 0.0000)  6 Y 3.00-3.23
Tl (0.0000, 0.5000, 0.5000)  6 Y 3.00-3.23

Output
Symmetry = No. 12
Excess energy over the best structure of this formula in the dataset = 0.90 eV/f.u.
Total magnetic moment = 0.00 μB per formula unit
E_form = 0.056 eV/atom